Entry 1
## GdYCu2 (GGA-PBE)

Data for crystalline GdYCu2 at its relaxed geometry.

## Properties
Space-group type = No. 225

abc: 4.947 4.947 4.947
angles: 60.00 60.00 60.00
Positions (direct):
Gd: 0.000 0.000 0.000
Y: 0.500 0.500 0.500
Cu: 0.250 0.250 0.250
Cu: 0.750 0.750 0.750

***

Entry 2
## GdYCu2 (GGA-PBE)

Data for crystalline GdYCu2 at its relaxed geometry.

## Properties
Space-group type = No. 123

abc: 4.955 4.955 3.480
angles: 90.00 90.00 90.00
Positions (direct):
Gd: 0.000 0.000 0.000
Y: 0.500 0.500 0.000
Cu: 0.000 0.500 0.500
Cu: 0.500 0.000 0.500

***

Of them, entry 2 has the highest stability.

***

Entry 1
## GdY2Cu (GGA-PBE)

Data for crystalline GdY2Cu at its relaxed geometry.

## Properties
Space-group type = No. 123

abc: 3.511 3.511 8.775
angles: 90.00 90.00 90.00
Positions (direct):
Gd: 0.000 0.000 0.000
Y: 0.500 0.500 0.305
Y: 0.500 0.500 0.695
Cu: 0.000 0.000 0.500

***

Entry 2
## GdY2Cu (GGA-PBE)

Data for crystalline GdY2Cu at its relaxed geometry.

## Properties
Space-group type = No. 166

abc: 10.151 10.151 10.151
angles: 20.57 20.57 20.57
Positions (direct):
Gd: 0.000 0.000 0.000
Y: 0.234 0.234 0.234
Y: 0.766 0.766 0.766
Cu: 0.500 0.500 0.500

***

Of them, entry 1 has the highest stability.

***

Entry 1
## GdZnCu (GGA-PBE)

Data for crystalline GdZnCu at its relaxed geometry.

## Properties
Space-group type = No. 107

abc: 5.642 5.642 5.642
angles: 145.41 145.41 49.72
Positions (direct):
Gd: 0.000 0.000 0.000
Zn: 0.698 0.698 0.000
Cu: 0.308 0.308 0.000

***

Entry 2
## GdZnCu (GGA-PBE)

Data for crystalline GdZnCu at its relaxed geometry.

## Properties
Space-group type = No. 216

abc: 4.523 4.523 4.523
angles: 60.00 60.00 60.00
Positions (direct):
Gd: 0.000 0.000 0.000
Zn: 0.500 0.500 0.500
Cu: 0.250 0.250 0.250

***

Of them, entry 1 has the highest stability.

***

Entry 1
## GdZrCu2 (GGA-PBE)

Data for crystalline GdZrCu2 at its relaxed geometry.

## Properties
Space-group type = No. 123

abc: 3.376 3.376 6.845
angles: 90.00 90.00 90.00
Positions (direct):
Gd: 0.000 0.000 0.000
Zr: 0.000 0.000 0.500
Cu: 0.500 0.500 0.286
Cu: 0.500 0.500 0.714

***

Entry 2
## GdZrCu2 (GGA-PBE)

Data for crystalline GdZrCu2 at its relaxed geometry.

## Properties
Space-group type = No. 225

abc: 4.793 4.793 4.793
angles: 60.00 60.00 60.00
Positions (direct):
Gd: 0.000 0.000 0.000
Zr: 0.500 0.500 0.500
Cu: 0.250 0.250 0.250
Cu: 0.750 0.750 0.750

***

Of them, entry 1 has the highest stability.

***

Entry 1
## Cu8Ge3 (GGA-PBE)

Data for crystalline Cu8Ge3 at its relaxed geometry.

## Properties
Space-group type = No. 12

abc: 4.517 4.517 9.655
angles: 102.67 102.67 48.86
Positions (direct):
Cu: 0.049 0.049 0.320
Cu: 0.136 0.136 0.954
Cu: 0.224 0.224 0.589
Cu: 0.325 0.325 0.229
Cu: 0.675 0.675 0.771
Cu: 0.776 0.776 0.411
Cu: 0.864 0.864 0.046
Cu: 0.951 0.951 0.680
Ge: 0.399 0.399 0.855
Ge: 0.500 0.500 0.500
Ge: 0.601 0.601 0.145

***

Entry 2
## Cu8Ge3 (GGA-PBE)

Data for crystalline Cu8Ge3 at its relaxed geometry.

## Properties
Space-group type = No. 148

abc: 5.542 5.542 5.542
angles: 95.22 95.22 95.22
Positions (direct):
Cu: 0.141 0.141 0.141
Cu: 0.192 0.414 0.556
Cu: 0.414 0.556 0.192
Cu: 0.444 0.808 0.586
Cu: 0.556 0.192 0.414
Cu: 0.586 0.444 0.808
Cu: 0.808 0.586 0.444
Cu: 0.859 0.859 0.859
Ge: 0.000 0.000 0.500
Ge: 0.000 0.500 0.000
Ge: 0.500 0.000 0.000

***

Of them, entry 1 has the highest stability.

***

Entry 1
## Cu13Ge2 (GGA-PBE)

Data for crystalline Cu13Ge2 at its relaxed geometry.

## Properties
Space-group type = No. 166

abc: 7.163 7.163 7.163
angles: 54.24 54.24 54.24
Positions (direct):
Cu: 0.000 0.000 0.000
Cu: 0.111 0.111 0.497
Cu: 0.111 0.497 0.111
Cu: 0.249 0.249 0.623
Cu: 0.249 0.623 0.249
Cu: 0.377 0.751 0.751
Cu: 0.497 0.111 0.111
Cu: 0.503 0.889 0.889
Cu: 0.623 0.249 0.249
Cu: 0.751 0.377 0.751
Cu: 0.751 0.751 0.377
Cu: 0.889 0.503 0.889
Cu: 0.889 0.889 0.503
Ge: 0.132 0.132 0.132
Ge: 0.868 0.868 0.868

***

Entry 2
## Cu13Ge2 (GGA-PBE)

Data for crystalline Cu13Ge2 at its relaxed geometry.

## Properties
Space-group type = No. 2

abc: 4.536 6.361 6.904
angles: 70.90 83.15 88.06
Positions (direct):
Cu: 0.000 0.000 0.000
Cu: 0.137 0.268 0.199
Cu: 0.204 0.404 0.808
Cu: 0.271 0.533 0.397
Cu: 0.333 0.666 0.998
Cu: 0.392 0.801 0.601
Cu: 0.463 0.933 0.195
Cu: 0.537 0.067 0.805
Cu: 0.608 0.199 0.399
Cu: 0.667 0.334 0.002
Cu: 0.729 0.467 0.603
Cu: 0.796 0.596 0.192
Cu: 0.863 0.732 0.801
Ge: 0.080 0.145 0.608
Ge: 0.920 0.855 0.392

***

Of them, entry 2 has the highest stability.

***

Entry 1
## Cu3GeH (GGA-PBE)

Data for crystalline Cu3GeH at its relaxed geometry.

## Properties
Space-group type = No. 221

abc: 4.576 4.576 4.576
angles: 90.00 90.00 90.00
Positions (direct):
Cu: 0.000 0.000 0.500
Cu: 0.000 0.500 0.000
Cu: 0.500 0.000 0.000
Ge: 0.000 0.000 0.000
H: 0.500 0.500 0.500

***

Entry 2
## Cu3GeH (GGA-PBE)

Data for crystalline Cu3GeH at its relaxed geometry.

## Properties
Space-group type = No. 221

abc: 3.806 3.806 3.806
angles: 90.00 90.00 90.00
Positions (direct):
Cu: 0.000 0.000 0.500
Cu: 0.000 0.500 0.000
Cu: 0.500 0.000 0.000
Ge: 0.500 0.500 0.500
H: 0.000 0.000 0.000

***

Of them, entry 2 has the highest stability.

***

Entry 1
## CuGeH3 (GGA-PBE)

Data for crystalline CuGeH3 at its relaxed geometry.

## Properties
Space-group type = No. 221

abc: 3.535 3.535 3.535
angles: 90.00 90.00 90.00
Positions (direct):
Cu: 0.000 0.000 0.000
Ge: 0.500 0.500 0.500
H: 0.000 0.000 0.500
H: 0.000 0.500 0.000
H: 0.500 0.000 0.000

***

Entry 2
## CuGeH3 (GGA-PBE)

Data for crystalline CuGeH3 at its relaxed geometry.

## Properties
Space-group type = No. 221

abc: 3.659 3.659 3.659
angles: 90.00 90.00 90.00
Positions (direct):
Cu: 0.000 0.000 0.000
Ge: 0.500 0.500 0.500
H: 0.000 0.500 0.500
H: 0.500 0.000 0.500
H: 0.500 0.500 0.000

***

Of them, entry 1 has the highest stability.